Entry 1:
Compound: La2PrTm
Source: the Alexandria database
Functional: PBE
Structure: optimized geometry

The calculation puts the energy above the most stable polymorph in this dataset at 0.15 kcal/mol of atoms. The calculation puts the formation energy from the elements at 17 meV per atom.

It has space group R-3m (No. 166, hexagonal axes), with a = 3.6858 Å, b = 3.6858 Å, c = 35.6192 Å, α = 90.00°, β = 90.00° and γ = 120.00°. The inequivalent atoms are La at (0.0000, 0.0000, 0.2475), Pr at (0.0000, 0.0000, 0.0000) and Tm at (0.0000, 0.0000, 0.5000).

Entry 2:
Compound: NdHg2As2Pd7
Source: the Alexandria database
Functional: PBE
Structure: optimized geometry

The calculation puts the formation energy from the elements at -375 meV per atom.

It has space group C2/m (No. 12), with a = 5.7322 Å, b = 5.7154 Å, c = 14.7349 Å, α = 90.00°, β = 97.76° and γ = 90.00°. The inequivalent atoms are Nd at (0.0000, 0.0000, 0.0000), Hg at (0.1207, 0.0000, 0.4057), As at (0.0870, 0.5000, 0.2522), Pd at (0.0000, 0.5000, 0.0000), Pd at (0.1230, 0.5000, 0.4175) and Pd at (0.1970, 0.2499, 0.8462).

Entry 3:
Compound: Sc2MnI
Source: the Alexandria database
Functional: PBE
Structure: optimized geometry

For the formation energy without anion corrections, the calculation gives 0.10 eV per atom. The calculation puts the energy above the most stable polymorph in this dataset at 0.00 kcal/mol of atoms.

It has space group R-3m (No. 166, hexagonal axes), with a = 3.8213 Å, b = 3.8213 Å, c = 25.7562 Å, α = 90.00°, β = 90.00° and γ = 120.00°. The inequivalent atoms are Sc at (0.0000, 0.0000, 0.1103), Mn at (0.0000, 0.0000, 0.5000) and I at (0.0000, 0.0000, 0.0000).

Entry 4:
Compound: ScMoP2Cl
Source: the Alexandria database
Functional: PBE
Structure: optimized geometry

For the formation energy without anion corrections, the calculation gives 0.49 eV per atom. The calculation puts the energy above the most stable polymorph in this dataset at 10.85 kcal/mol of atoms.

It has space group P4/mmm (No. 123), with a = 4.9900 Å, b = 4.9900 Å, c = 4.7420 Å, α = 90.00°, β = 90.00° and γ = 90.00°. The inequivalent atoms are Sc at (0.0000, 0.0000, 0.0000), Mo at (0.5000, 0.5000, 0.5000), P at (0.0000, 0.5000, 0.0000) and Cl at (0.0000, 0.0000, 0.5000).

Entry 5:
Compound: Ce4Dy3Te8
Source: the Alexandria database
Functional: PBE
Structure: optimized geometry

For the formation energy without anion corrections, the calculation gives -1.15 eV per atom.

It has space group R-3m (No. 166, hexagonal axes), with a = 8.7602 Å, b = 8.7602 Å, c = 24.6757 Å, α = 90.00°, β = 90.00° and γ = 120.00°. The inequivalent atoms are Ce at (0.0000, 0.0000, 0.0000), Ce at (0.0000, 0.0000, 0.1432), Ce at (0.0000, 0.0000, 0.5000), Dy at (0.0000, 0.5000, 0.0000), Te at (0.0000, 0.0000, 0.2672) and Te at (0.0128, 0.5064, 0.2561).

Entry 6:
Compound: La5TbCd4
Source: the Alexandria database
Functional: PBE
Structure: optimized geometry

The calculation puts the formation energy from the elements at -248 meV per atom.

It has space group P4/mmm (No. 123), with a = 3.8860 Å, b = 3.8860 Å, c = 20.8289 Å, α = 90.00°, β = 90.00° and γ = 90.00°. The inequivalent atoms are La at (0.0000, 0.0000, 0.0000), La at (0.0000, 0.0000, 0.1920), La at (0.0000, 0.0000, 0.3842), Tb at (0.5000, 0.5000, 0.5000), Cd at (0.5000, 0.5000, 0.0956) and Cd at (0.5000, 0.5000, 0.2902).

Entry 7:
Compound: KMgBeSe
Source: the Alexandria database
Functional: PBE
Structure: optimized geometry

For the formation energy without anion corrections, the calculation gives -0.21 eV per atom. The calculation puts the energy above the most stable polymorph in this dataset at 1.51 kcal/mol of atoms.

It has space group Cm (No. 8), with a = 6.2525 Å, b = 3.7193 Å, c = 8.8008 Å, α = 90.00°, β = 100.75° and γ = 90.00°. The inequivalent atoms are K at (0.0000, 0.0000, 0.0000), Mg at (0.0174, 0.5000, 0.6370), Be at (0.1136, 0.0000, 0.4071) and Se at (0.4238, 0.0000, 0.3100).

Entry 8:
Compound: Ta2RePd2
Source: the Alexandria database
Functional: PBE
Structure: optimized geometry

The calculation puts the energy above the most stable polymorph in this dataset at 3.88 kcal/mol of atoms. The calculation puts the formation energy from the elements at 242 meV per atom.

It has space group P4/mbm (No. 127), with a = 6.9861 Å, b = 6.9861 Å, c = 3.5709 Å, α = 90.00°, β = 90.00° and γ = 90.00°. The inequivalent atoms are Ta at (0.1593, 0.3407, 0.0000), Re at (0.0000, 0.0000, 0.0000) and Pd at (0.1393, 0.6393, 0.5000).

Entry 9:
Compound: Ba2Ge4Au5
Source: the Alexandria database
Functional: PBE
Structure: optimized geometry

The calculation puts the formation energy from the elements at -366 meV per atom.

It has space group Fmmm (No. 69), with a = 6.3303 Å, b = 11.3073 Å, c = 15.0221 Å, α = 90.00°, β = 90.00° and γ = 90.00°. The inequivalent atoms are Ba at (0.0000, 0.0000, 0.1415), Ge at (0.0000, 0.1578, 0.3741), Au at (0.0000, 0.0000, 0.5000), Au at (0.2500, 0.2500, 0.0000) and Au at (0.2500, 0.2500, 0.2500).

Entry 10:
Compound: YGa4Pt2Rh
Source: the Alexandria database
Functional: PBE
Structure: optimized geometry

The calculation puts the formation energy from the elements at -718 meV per atom.

It has space group R-3m (No. 166, hexagonal axes), with a = 4.2800 Å, b = 4.2800 Å, c = 25.9469 Å, α = 90.00°, β = 90.00° and γ = 120.00°. The inequivalent atoms are Y at (0.0000, 0.0000, 0.0000), Ga at (0.0000, 0.0000, 0.1324), Ga at (0.0000, 0.0000, 0.3975), Pt at (0.0000, 0.0000, 0.2386) and Rh at (0.0000, 0.0000, 0.5000).

Entry 11:
Compound: TiNbCu
Source: the Alexandria database
Functional: PBE
Structure: optimized geometry

The calculation puts the energy above the most stable polymorph in this dataset at 2.13 kcal/mol of atoms. The calculation puts the formation energy from the elements at -1 meV per atom.

It has space group P-1 (No. 2), with a = 2.9032 Å, b = 5.5043 Å, c = 6.3619 Å, α = 102.82°, β = 95.42° and γ = 103.20°. The inequivalent atoms are Ti at (0.2198, 0.3599, 0.1229), Nb at (0.0493, 0.2750, 0.5478) and Cu at (0.4783, 0.9466, 0.1833).

Entry 12:
Compound: CePIO4
Source: the Alexandria database
Functional: PBE
Structure: optimized geometry

For the formation energy without anion corrections, the calculation gives -2.44 eV per atom.

It has space group C2/m (No. 12), with a = 10.7231 Å, b = 6.9189 Å, c = 6.6123 Å, α = 90.00°, β = 101.79° and γ = 90.00°. The inequivalent atoms are Ce at (0.2258, 0.0000, 0.3337), P at (0.1360, 0.0000, 0.7589), I at (0.0152, 0.5000, 0.2492), O at (0.0098, 0.0000, 0.2715), O at (0.1855, 0.1756, 0.6460) and O at (0.1978, 0.0000, 0.9904).